No. 1
First-principles (PBE) data for a geometry-optimized HoPaCoCu structure, as listed in Alexandria via LeMat-Bulk.

Properties
- theoretical density (g/cm³) = 11.137
- Fermi-level density of states (states/eV per atom) = 1.47
- calculated formation energy (meV per atom) = -43
- electronic total energy (eV/atom) = -6.36

Structure (CIF):
```
data_HoPaCoCu
_space_group_name_H-M_alt 'F -4 3 m'
_space_group_IT_number 216
_space_group_name_Hall 'F -4 2 3'
_cell_length_a 6.762
_cell_length_b 6.762
_cell_length_c 6.762
_cell_angle_alpha 90.00
_cell_angle_beta 90.00
_cell_angle_gamma 90.00
loop_
_atom_site_label
_atom_site_type_symbol
_atom_site_fract_x
_atom_site_fract_y
_atom_site_fract_z
Ho1 Ho 0.000 0.000 0.000
Pa1 Pa 0.000 0.000 0.500
Co1 Co 0.250 0.250 0.750
Cu1 Cu 0.250 0.250 0.250
```

=====

No. 2
First-principles (PBE) data for a geometry-optimized HoCoCuPb structure, as listed in Alexandria via LeMat-Bulk.

Properties
- theoretical density (g/cm³) = 11.200
- Fermi-level density of states (states/eV per atom) = 1.00
- calculated formation energy (meV per atom) = -38
- electronic total energy (eV/atom) = -4.91

Structure (CIF):
```
data_HoCoCuPb
_space_group_name_H-M_alt 'F -4 3 m'
_space_group_IT_number 216
_space_group_name_Hall 'F -4 2 3'
_cell_length_a 6.644
_cell_length_b 6.644
_cell_length_c 6.644
_cell_angle_alpha 90.00
_cell_angle_beta 90.00
_cell_angle_gamma 90.00
loop_
_atom_site_label
_atom_site_type_symbol
_atom_site_fract_x
_atom_site_fract_y
_atom_site_fract_z
Ho1 Ho 0.000 0.000 0.000
Co1 Co 0.250 0.250 0.750
Cu1 Cu 0.250 0.250 0.250
Pb1 Pb 0.000 0.000 0.500
```

=====

No. 3
First-principles (PBE) data for a geometry-optimized PmHoCoCu structure, as listed in Alexandria via LeMat-Bulk.

Properties
- excess energy over the best structure of this formula in the dataset (meV per atom) = 37
- theoretical density (g/cm³) = 8.805
- Fermi-level density of states (states/eV per atom) = 0.87
- calculated formation energy (meV per atom) = -135
- electronic total energy (eV/atom) = -5.27

Structure (CIF):
```
data_PmHoCoCu
_space_group_name_H-M_alt 'F -4 3 m'
_space_group_IT_number 216
_space_group_name_Hall 'F -4 2 3'
_cell_length_a 6.884
_cell_length_b 6.884
_cell_length_c 6.884
_cell_angle_alpha 90.00
_cell_angle_beta 90.00
_cell_angle_gamma 90.00
loop_
_atom_site_label
_atom_site_type_symbol
_atom_site_fract_x
_atom_site_fract_y
_atom_site_fract_z
Pm1 Pm 0.000 0.000 0.000
Ho1 Ho 0.000 0.000 0.500
Co1 Co 0.250 0.250 0.250
Cu1 Cu 0.250 0.250 0.750
```

=====

No. 4
First-principles (PBE) data for a geometry-optimized PmHoCoCu structure, as listed in Alexandria via LeMat-Bulk.

Properties
- excess energy over the best structure of this formula in the dataset (meV per atom) = 0
- theoretical density (g/cm³) = 8.500
- Fermi-level density of states (states/eV per atom) = 0.85
- calculated formation energy (meV per atom) = -172
- electronic total energy (eV/atom) = -5.30

Structure (CIF):
```
data_PmHoCoCu
_space_group_name_H-M_alt 'A m m 2'
_space_group_IT_number 38
_space_group_name_Hall 'A 2 -2'
_cell_length_a 4.300
_cell_length_b 3.838
_cell_length_c 10.237
_cell_angle_alpha 90.00
_cell_angle_beta 90.00
_cell_angle_gamma 90.00
loop_
_atom_site_label
_atom_site_type_symbol
_atom_site_fract_x
_atom_site_fract_y
_atom_site_fract_z
Pm1 Pm 0.000 0.000 0.000
Ho1 Ho 0.500 0.000 0.719
Co1 Co 0.000 0.000 0.284
Cu1 Cu 0.500 0.000 0.422
```

=====

No. 5
First-principles (PBE) data for a geometry-optimized PrHoCoCu structure, as listed in Alexandria via LeMat-Bulk.

Properties
- excess energy over the best structure of this formula in the dataset (meV per atom) = 0
- theoretical density (g/cm³) = 8.242
- Fermi-level density of states (states/eV per atom) = 0.85
- calculated formation energy (meV per atom) = -139
- electronic total energy (eV/atom) = -5.28

Structure (CIF):
```
data_PrHoCoCu
_space_group_name_H-M_alt 'A m m 2'
_space_group_IT_number 38
_space_group_name_Hall 'A 2 -2'
_cell_length_a 4.347
_cell_length_b 3.861
_cell_length_c 10.282
_cell_angle_alpha 90.00
_cell_angle_beta 90.00
_cell_angle_gamma 90.00
loop_
_atom_site_label
_atom_site_type_symbol
_atom_site_fract_x
_atom_site_fract_y
_atom_site_fract_z
Pr1 Pr 0.000 0.000 0.000
Ho1 Ho 0.500 0.000 0.281
Co1 Co 0.000 0.000 0.718
Cu1 Cu 0.500 0.000 0.581
```

=====

No. 6
First-principles (PBE) data for a geometry-optimized PrHoCoCu structure, as listed in Alexandria via LeMat-Bulk.

Properties
- excess energy over the best structure of this formula in the dataset (meV per atom) = 44
- theoretical density (g/cm³) = 8.503
- Fermi-level density of states (states/eV per atom) = 0.90
- calculated formation energy (meV per atom) = -96
- electronic total energy (eV/atom) = -5.24

Structure (CIF):
```
data_PrHoCoCu
_space_group_name_H-M_alt 'F -4 3 m'
_space_group_IT_number 216
_space_group_name_Hall 'F -4 2 3'
_cell_length_a 6.942
_cell_length_b 6.942
_cell_length_c 6.942
_cell_angle_alpha 90.00
_cell_angle_beta 90.00
_cell_angle_gamma 90.00
loop_
_atom_site_label
_atom_site_type_symbol
_atom_site_fract_x
_atom_site_fract_y
_atom_site_fract_z
Pr1 Pr 0.000 0.000 0.000
Ho1 Ho 0.000 0.000 0.500
Co1 Co 0.250 0.250 0.250
Cu1 Cu 0.250 0.250 0.750
```

=====

No. 7
First-principles (PBE) data for a geometry-optimized HoScCoCu structure, as listed in Alexandria via LeMat-Bulk.

Properties
- theoretical density (g/cm³) = 7.738
- Fermi-level density of states (states/eV per atom) = 0.98
- calculated formation energy (meV per atom) = -235
- electronic total energy (eV/atom) = -5.76

Structure (CIF):
```
data_HoScCoCu
_space_group_name_H-M_alt 'F -4 3 m'
_space_group_IT_number 216
_space_group_name_Hall 'F -4 2 3'
_cell_length_a 6.583
_cell_length_b 6.583
_cell_length_c 6.583
_cell_angle_alpha 90.00
_cell_angle_beta 90.00
_cell_angle_gamma 90.00
loop_
_atom_site_label
_atom_site_type_symbol
_atom_site_fract_x
_atom_site_fract_y
_atom_site_fract_z
Ho1 Ho 0.000 0.000 0.000
Sc1 Sc 0.000 0.000 0.500
Co1 Co 0.250 0.250 0.250
Cu1 Cu 0.250 0.250 0.750
```

=====

No. 8
First-principles (PBE) data for a geometry-optimized SmHoCoCu structure, as listed in Alexandria via LeMat-Bulk.

Properties
- excess energy over the best structure of this formula in the dataset (meV per atom) = 35
- theoretical density (g/cm³) = 8.994
- Fermi-level density of states (states/eV per atom) = 0.85
- calculated formation energy (meV per atom) = -147
- electronic total energy (eV/atom) = -5.27

Structure (CIF):
```
data_SmHoCoCu
_space_group_name_H-M_alt 'F -4 3 m'
_space_group_IT_number 216
_space_group_name_Hall 'F -4 2 3'
_cell_length_a 6.863
_cell_length_b 6.863
_cell_length_c 6.863
_cell_angle_alpha 90.00
_cell_angle_beta 90.00
_cell_angle_gamma 90.00
loop_
_atom_site_label
_atom_site_type_symbol
_atom_site_fract_x
_atom_site_fract_y
_atom_site_fract_z
Sm1 Sm 0.000 0.000 0.000
Ho1 Ho 0.000 0.000 0.500
Co1 Co 0.250 0.250 0.250
Cu1 Cu 0.250 0.250 0.750
```

=====

No. 9
First-principles (PBE) data for a geometry-optimized SmHoCoCu structure, as listed in Alexandria via LeMat-Bulk.

Properties
- excess energy over the best structure of this formula in the dataset (meV per atom) = 0
- theoretical density (g/cm³) = 8.666
- Fermi-level density of states (states/eV per atom) = 0.84
- calculated formation energy (meV per atom) = -182
- electronic total energy (eV/atom) = -5.31

Structure (CIF):
```
data_SmHoCoCu
_space_group_name_H-M_alt 'A m m 2'
_space_group_IT_number 38
_space_group_name_Hall 'A 2 -2'
_cell_length_a 4.279
_cell_length_b 3.832
_cell_length_c 10.233
_cell_angle_alpha 90.00
_cell_angle_beta 90.00
_cell_angle_gamma 90.00
loop_
_atom_site_label
_atom_site_type_symbol
_atom_site_fract_x
_atom_site_fract_y
_atom_site_fract_z
Sm1 Sm 0.000 0.000 0.000
Ho1 Ho 0.500 0.000 0.719
Co1 Co 0.000 0.000 0.284
Cu1 Cu 0.500 0.000 0.423
```

=====

No. 10
First-principles (PBE) data for a geometry-optimized HoCoCuSn structure, as listed in Alexandria via LeMat-Bulk.

Properties
- theoretical density (g/cm³) = 9.713
- Fermi-level density of states (states/eV per atom) = 0.92
- calculated formation energy (meV per atom) = -262
- electronic total energy (eV/atom) = -5.21

Structure (CIF):
```
data_HoCoCuSn
_space_group_name_H-M_alt 'F -4 3 m'
_space_group_IT_number 216
_space_group_name_Hall 'F -4 2 3'
_cell_length_a 6.524
_cell_length_b 6.524
_cell_length_c 6.524
_cell_angle_alpha 90.00
_cell_angle_beta 90.00
_cell_angle_gamma 90.00
loop_
_atom_site_label
_atom_site_type_symbol
_atom_site_fract_x
_atom_site_fract_y
_atom_site_fract_z
Ho1 Ho 0.000 0.000 0.000
Co1 Co 0.250 0.250 0.750
Cu1 Cu 0.250 0.250 0.250
Sn1 Sn 0.000 0.000 0.500
```